[1]
NiIr2OsBr: relaxed, PBE-GGA.

Cell lengths 4.7380, 5.0145, 4.7380 Å; angles 90.00, 90.00, 90.00 degrees
Last column: nearest neighbours and their distance in Å.
Fractional positions:
Ni  0.5000  0.5000  0.5000  4 Br 3.35, 8 Ir 3.45
Br  0.0000  0.5000  0.0000  2 Os 2.51
Os  0.0000  0.0000  0.0000  4 Ir 2.37, 2 Br 2.51
Ir  0.5000  0.0000  0.0000  2 Os 2.37
Ir  0.0000  0.0000  0.5000  2 Os 2.37



[2]
Pr6Ni2IrBr3: relaxed, PBE-GGA.

Cell lengths 7.1696, 7.1696, 8.1891 Å; angles 98.38, 98.38, 120.03 degrees
Last column: nearest neighbours and their distance in Å.
Fractional positions:
Ir  0.0000  0.0000  0.0000  6 Pr 2.85
Pr  0.4001  0.0649  0.1946  2 Ni 2.83, 1 Ir 2.85
Ni  0.3334  0.6666  0.0000  6 Pr 2.83
Br  0.8326  0.1674  0.5000  6 Pr 3.37-3.39
Br  0.1674  0.8326  0.5000  6 Pr 3.37-3.39
Pr  0.7295  0.7295  0.1945  2 Ni 2.83, 1 Ir 2.85
Br  0.5000  0.5000  0.5000  6 Pr 3.37-3.39
Pr  0.0649  0.4001  0.1946  2 Ni 2.83, 1 Ir 2.85
Pr  0.9351  0.5999  0.8054  2 Ni 2.83, 1 Ir 2.85
Pr  0.5999  0.9351  0.8054  2 Ni 2.83, 1 Ir 2.85
Pr  0.2705  0.2705  0.8055  2 Ni 2.83, 1 Ir 2.85
Ni  0.6666  0.3334  0.0000  6 Pr 2.83



[3]
Pr8Ni3IrBr4: relaxed, PBE-GGA.

Cell lengths 8.2616, 9.1668, 8.2675 Å; angles 116.86, 119.98, 90.00 degrees
Last column: nearest neighbours and their distance in Å.
Fractional positions:
Pr  0.2331  0.6955  0.9629  2 Ni 2.83, 1 Ir 2.85
Pr  0.7308  0.6919  0.4616  3 Ni 2.82
Br  0.0000  0.0000  0.5000  6 Pr 3.37-3.39
Pr  0.7670  0.3045  0.5339  2 Ni 2.83, 1 Ir 2.85
Br  0.5000  0.0000  0.0000  6 Pr 3.36
Br  0.0000  0.0000  0.0000  6 Pr 3.38-3.39
Ni  0.5000  0.5000  0.0000  6 Pr 2.82-2.83
Pr  0.7298  0.6955  0.9629  2 Ni 2.83, 1 Ir 2.85
Pr  0.2330  0.6955  0.4661  2 Ni 2.83, 1 Ir 2.85
Ir  0.0000  0.5000  0.0000  6 Pr 2.85
Pr  0.7669  0.3045  0.0371  2 Ni 2.83, 1 Ir 2.85
Br  0.5000  0.0000  0.5000  6 Pr 3.37-3.39
Ni  0.0000  0.5000  0.5000  6 Pr 2.82-2.83
Pr  0.2702  0.3045  0.0371  2 Ni 2.83, 1 Ir 2.85
Ni  0.5000  0.5000  0.5000  6 Pr 2.82-2.83
Pr  0.2692  0.3081  0.5384  3 Ni 2.82



[4]
Pr8NiIr3Br4: relaxed, PBE-GGA.

Cell lengths 8.3538, 9.2078, 8.3526 Å; angles 116.99, 120.00, 90.00 degrees
Last column: nearest neighbours and their distance in Å.
Fractional positions:
Br  0.0000  0.0000  0.5000  6 Pr 3.38-3.40
Pr  0.2307  0.6944  0.4615  1 Ni 2.84, 2 Ir 2.86
Ir  0.5000  0.5000  0.0000  6 Pr 2.86
Pr  0.7693  0.3057  0.0361  1 Ni 2.84, 2 Ir 2.86
Ir  0.0000  0.5000  0.5000  6 Pr 2.86
Br  0.5000  0.0000  0.5000  6 Pr 3.38-3.40
Pr  0.7332  0.6943  0.9639  1 Ni 2.84, 2 Ir 2.86
Br  0.5000  0.0000  0.0000  6 Pr 3.41
Br  0.0000  0.0000  0.0000  6 Pr 3.38-3.40
Pr  0.2307  0.6943  0.9639  1 Ni 2.84, 2 Ir 2.86
Pr  0.7693  0.3056  0.5385  1 Ni 2.84, 2 Ir 2.86
Pr  0.2668  0.3057  0.0361  1 Ni 2.84, 2 Ir 2.86
Pr  0.7325  0.6972  0.4650  3 Ir 2.86
Ir  0.5000  0.5000  0.5000  6 Pr 2.86
Ni  0.0000  0.5000  0.0000  6 Pr 2.84
Pr  0.2675  0.3028  0.5350  3 Ir 2.86



[5]
Rb2NiIrBr6: relaxed, PBE-GGA.

Cell lengths 7.3460, 7.3460, 7.3450 Å; angles 60.00, 60.00, 90.00 degrees
Last column: nearest neighbours and their distance in Å.
Fractional positions:
Br  0.7529  0.7529  0.0000  1 Ir 2.57, 1 Ni 2.63
Br  0.7529  0.2471  0.0000  1 Ir 2.57, 1 Ni 2.63
Ir  0.0000  0.0000  0.0000  6 Br 2.57
Rb  0.7500  0.2500  0.5000  12 Br 3.67
Br  0.2471  0.2471  0.0000  1 Ir 2.57, 1 Ni 2.63
Rb  0.2500  0.7500  0.5000  12 Br 3.67
Br  0.2471  0.7529  0.0000  1 Ir 2.57, 1 Ni 2.63
Br  0.2475  0.2475  0.5050  1 Ir 2.57, 1 Ni 2.62
Br  0.7525  0.7525  0.4950  1 Ir 2.57, 1 Ni 2.62
Ni  0.5000  0.5000  0.0000  6 Br 2.62-2.63



[6]
RbNiIrBr6: relaxed, PBE-GGA.

Cell lengths 6.6066, 6.6064, 7.8682 Å; angles 90.00, 90.00, 60.00 degrees
Last column: nearest neighbours and their distance in Å.
Fractional positions:
Ir  0.6666  0.6666  0.5000  6 Br 2.51
Br  0.6383  0.3675  0.6794  1 Ir 2.51, 1 Ni 2.56
Br  0.9943  0.3674  0.3206  1 Ir 2.51, 1 Ni 2.56
Br  0.9942  0.6383  0.6794  1 Ir 2.51, 1 Ni 2.56
Br  0.3674  0.9943  0.6794  1 Ir 2.51, 1 Ni 2.56
Br  0.3675  0.6383  0.3206  1 Ir 2.51, 1 Ni 2.56
Ni  0.3333  0.3334  0.5000  6 Br 2.56
Rb  0.0000  0.0000  0.0000  6 Br 3.49
Br  0.6382  0.9943  0.3206  1 Ir 2.51, 1 Ni 2.56



[7]
NiIrSe2Br: relaxed, PBE-GGA.

## Properties
Energy relative to the lowest polymorph listed for this composition (meV per atom): 128

Cell lengths 4.6514, 4.6514, 4.6539 Å; angles 90.00, 90.00, 90.00 degrees
Last column: nearest neighbours and their distance in Å.
Fractional positions:
Se  0.0000  0.5000  0.0000  2 Ni 2.33
Ir  0.5000  0.5000  0.5000  4 Br 3.29, 8 Se 3.29
Br  0.0000  0.0000  0.5000  2 Ni 2.33
Se  0.5000  0.0000  0.0000  2 Ni 2.33
Ni  0.0000  0.0000  0.0000  4 Se 2.33, 2 Br 2.33



[8]
NiIrSe2Br: relaxed, PBE-GGA.

## Properties
Energy relative to the lowest polymorph listed for this composition (meV per atom): 0

Cell lengths 4.8519, 4.8519, 5.2110 Å; angles 90.00, 90.00, 90.00 degrees
Last column: nearest neighbours and their distance in Å.
Fractional positions:
Se  0.0000  0.5000  0.0000  2 Ir 2.43
Ir  0.0000  0.0000  0.0000  4 Se 2.43, 2 Br 2.61
Se  0.5000  0.0000  0.0000  2 Ir 2.43
Br  0.0000  0.0000  0.5000  2 Ir 2.61
Ni  0.5000  0.5000  0.5000  4 Br 3.43, 8 Se 3.56



Number 1: formation energy from raw total energies 1924 meV/atom. Number 2: formation energy from raw total energies -900 meV/atom. Number 3: formation energy from raw total energies -874 meV/atom. Number 4: formation energy from raw total energies -1021 meV/atom. Number 5: formation energy from raw total energies -705 meV/atom. Number 6: formation energy from raw total energies -598 meV/atom. Number 7: formation energy from raw total energies 1004 meV/atom. Number 8: formation energy from raw total energies 876 meV/atom.